Entry 1:
{"formula": "LiSnPO4", "functional": "PBE", "state": "optimized geometry", "lattice_angstrom": [[6.263, 0.000, 0.000], [0.000, 12.439, 0.000], [-1.869, 0.000, 9.524]], "species": ["Li", "Li", "Li", "Li", "Li", "Li", "Li", "Li", "Sn", "Sn", "Sn", "Sn", "Sn", "Sn", "Sn", "Sn", "P", "P", "P", "P", "P", "P", "P", "P", "O", "O", "O", "O", "O", "O", "O", "O", "O", "O", "O", "O", "O", "O", "O", "O", "O", "O", "O", "O", "O", "O", "O", "O", "O", "O", "O", "O", "O", "O", "O", "O"], "fractional_positions": [[0.081, 0.116, 0.046], [0.081, 0.384, 0.546], [0.419, 0.643, 0.334], [0.419, 0.857, 0.834], [0.581, 0.143, 0.166], [0.581, 0.357, 0.666], [0.919, 0.616, 0.454], [0.919, 0.884, 0.954], [0.082, 0.069, 0.718], [0.082, 0.431, 0.218], [0.385, 0.640, 0.011], [0.385, 0.860, 0.511], [0.615, 0.140, 0.489], [0.615, 0.360, 0.989], [0.918, 0.569, 0.782], [0.918, 0.931, 0.282], [0.144, 0.177, 0.320], [0.144, 0.323, 0.820], [0.378, 0.605, 0.652], [0.378, 0.895, 0.152], [0.622, 0.105, 0.848], [0.622, 0.395, 0.348], [0.856, 0.677, 0.180], [0.856, 0.823, 0.680], [0.075, 0.620, 0.246], [0.075, 0.880, 0.746], [0.099, 0.209, 0.874], [0.099, 0.291, 0.374], [0.165, 0.539, 0.611], [0.165, 0.961, 0.111], [0.263, 0.111, 0.452], [0.263, 0.389, 0.952], [0.287, 0.182, 0.209], [0.287, 0.318, 0.709], [0.374, 0.671, 0.788], [0.374, 0.829, 0.288], [0.398, 0.684, 0.530], [0.398, 0.816, 0.030], [0.422, 0.027, 0.823], [0.422, 0.473, 0.323], [0.578, 0.527, 0.677], [0.578, 0.973, 0.177], [0.602, 0.184, 0.970], [0.602, 0.316, 0.470], [0.626, 0.171, 0.712], [0.626, 0.329, 0.212], [0.713, 0.682, 0.291], [0.713, 0.818, 0.791], [0.737, 0.611, 0.048], [0.737, 0.889, 0.548], [0.835, 0.039, 0.889], [0.835, 0.461, 0.389], [0.901, 0.709, 0.626], [0.901, 0.791, 0.126], [0.925, 0.120, 0.254], [0.925, 0.380, 0.754]], "raw_formation_energy_ev_per_atom": -2.0100, "dft_energy_ev_per_atom": -6.4613, "volume_a3_per_atom": 13.2, "dos_ef_per_ev_cell": 0.000}

Entry 2:
{"formula": "LiSnPO4", "functional": "PBE", "state": "optimized geometry", "lattice_angstrom": [[7.443, 0.000, 0.000], [0.000, 5.444, 0.000], [0.000, 0.000, 10.383]], "species": ["Li", "Li", "Li", "Li", "Sn", "Sn", "Sn", "Sn", "P", "P", "P", "P", "O", "O", "O", "O", "O", "O", "O", "O", "O", "O", "O", "O", "O", "O", "O", "O"], "fractional_positions": [[0.212, 0.250, 0.203], [0.288, 0.750, 0.703], [0.712, 0.250, 0.297], [0.788, 0.750, 0.797], [0.215, 0.250, 0.904], [0.285, 0.750, 0.404], [0.715, 0.250, 0.596], [0.785, 0.750, 0.096], [0.192, 0.250, 0.530], [0.308, 0.750, 0.030], [0.692, 0.250, 0.970], [0.808, 0.750, 0.470], [0.002, 0.250, 0.588], [0.198, 0.250, 0.382], [0.207, 0.513, 0.077], [0.207, 0.987, 0.077], [0.293, 0.013, 0.577], [0.293, 0.487, 0.577], [0.302, 0.750, 0.882], [0.498, 0.750, 0.088], [0.502, 0.250, 0.912], [0.698, 0.250, 0.118], [0.707, 0.513, 0.423], [0.707, 0.987, 0.423], [0.793, 0.013, 0.923], [0.793, 0.487, 0.923], [0.802, 0.750, 0.618], [0.998, 0.750, 0.412]], "raw_formation_energy_ev_per_atom": -2.0052, "dft_energy_ev_per_atom": -6.4566, "volume_a3_per_atom": 15.0, "dos_ef_per_ev_cell": 0.000}

Entry 3:
{"formula": "LiSn2P3O12", "functional": "PBE", "state": "optimized geometry", "lattice_angstrom": [[8.870, 0.000, 0.000], [0.000, 12.326, 0.000], [0.000, 0.000, 8.762]], "species": ["Li", "Li", "Li", "Li", "Sn", "Sn", "Sn", "Sn", "Sn", "Sn", "Sn", "Sn", "P", "P", "P", "P", "P", "P", "P", "P", "P", "P", "P", "P", "O", "O", "O", "O", "O", "O", "O", "O", "O", "O", "O", "O", "O", "O", "O", "O", "O", "O", "O", "O", "O", "O", "O", "O", "O", "O", "O", "O", "O", "O", "O", "O", "O", "O", "O", "O", "O", "O", "O", "O", "O", "O", "O", "O", "O", "O", "O", "O"], "fractional_positions": [[0.030, 0.176, 0.461], [0.470, 0.676, 0.539], [0.530, 0.324, 0.539], [0.970, 0.824, 0.461], [0.209, 0.387, 0.500], [0.216, 0.120, 0.999], [0.284, 0.620, 0.001], [0.291, 0.887, 0.500], [0.709, 0.113, 0.500], [0.716, 0.380, 0.001], [0.784, 0.880, 0.999], [0.791, 0.613, 0.500], [0.000, 0.000, 0.711], [0.000, 0.500, 0.207], [0.142, 0.855, 0.144], [0.143, 0.651, 0.647], [0.357, 0.151, 0.353], [0.358, 0.355, 0.856], [0.500, 0.000, 0.793], [0.500, 0.500, 0.289], [0.642, 0.645, 0.856], [0.643, 0.849, 0.353], [0.857, 0.349, 0.647], [0.858, 0.145, 0.144], [0.014, 0.314, 0.585], [0.022, 0.175, 0.101], [0.085, 0.921, 0.601], [0.090, 0.578, 0.107], [0.104, 0.427, 0.306], [0.108, 0.071, 0.802], [0.145, 0.847, 0.324], [0.146, 0.663, 0.820], [0.179, 0.534, 0.597], [0.185, 0.970, 0.097], [0.235, 0.225, 0.429], [0.242, 0.275, 0.921], [0.258, 0.775, 0.079], [0.265, 0.725, 0.571], [0.315, 0.470, 0.903], [0.321, 0.034, 0.403], [0.354, 0.163, 0.180], [0.355, 0.347, 0.676], [0.392, 0.571, 0.198], [0.396, 0.927, 0.694], [0.410, 0.078, 0.893], [0.415, 0.421, 0.399], [0.478, 0.675, 0.899], [0.486, 0.814, 0.415], [0.514, 0.186, 0.415], [0.522, 0.325, 0.899], [0.585, 0.579, 0.399], [0.590, 0.922, 0.893], [0.604, 0.073, 0.694], [0.608, 0.429, 0.198], [0.645, 0.653, 0.676], [0.646, 0.837, 0.180], [0.679, 0.966, 0.403], [0.685, 0.530, 0.903], [0.735, 0.275, 0.571], [0.742, 0.225, 0.079], [0.758, 0.725, 0.921], [0.765, 0.775, 0.429], [0.815, 0.030, 0.097], [0.821, 0.466, 0.597], [0.854, 0.337, 0.820], [0.855, 0.153, 0.324], [0.892, 0.929, 0.802], [0.896, 0.573, 0.306], [0.910, 0.422, 0.107], [0.915, 0.079, 0.601], [0.978, 0.825, 0.101], [0.986, 0.686, 0.585]], "raw_formation_energy_ev_per_atom": -2.0478, "dft_energy_ev_per_atom": -6.8060, "volume_a3_per_atom": 13.3, "dos_ef_per_ev_cell": 0.000, "e_above_lowest_polymorph_mev_per_atom": 13}

Entry 4:
{"formula": "Li4SnP6O18", "functional": "PBE", "state": "optimized geometry", "lattice_angstrom": [[6.007, -4.318, 0.000], [6.007, 4.318, 0.000], [-0.825, 0.000, 14.830]], "species": ["Li", "Li", "Li", "Li", "Li", "Li", "Li", "Li", "Sn", "Sn", "P", "P", "P", "P", "P", "P", "P", "P", "P", "P", "P", "P", "O", "O", "O", "O", "O", "O", "O", "O", "O", "O", "O", "O", "O", "O", "O", "O", "O", "O", "O", "O", "O", "O", "O", "O", "O", "O", "O", "O", "O", "O", "O", "O", "O", "O", "O", "O"], "fractional_positions": [[0.008, 0.320, 0.442], [0.320, 0.008, 0.942], [0.322, 0.335, 0.568], [0.335, 0.322, 0.068], [0.665, 0.678, 0.932], [0.678, 0.665, 0.432], [0.680, 0.992, 0.058], [0.992, 0.680, 0.558], [0.315, 0.685, 0.750], [0.685, 0.315, 0.250], [0.040, 0.413, 0.732], [0.074, 0.086, 0.615], [0.086, 0.074, 0.115], [0.267, 0.594, 0.393], [0.406, 0.733, 0.107], [0.413, 0.040, 0.232], [0.587, 0.960, 0.768], [0.594, 0.267, 0.893], [0.733, 0.406, 0.607], [0.914, 0.926, 0.885], [0.926, 0.914, 0.385], [0.960, 0.587, 0.268], [0.071, 0.460, 0.828], [0.111, 0.182, 0.713], [0.116, 0.876, 0.630], [0.124, 0.884, 0.870], [0.129, 0.499, 0.661], [0.153, 0.168, 0.042], [0.157, 0.822, 0.397], [0.168, 0.153, 0.542], [0.178, 0.843, 0.103], [0.182, 0.111, 0.213], [0.187, 0.534, 0.295], [0.195, 0.501, 0.466], [0.438, 0.525, 0.115], [0.460, 0.071, 0.328], [0.466, 0.813, 0.205], [0.475, 0.562, 0.385], [0.499, 0.129, 0.161], [0.499, 0.805, 0.034], [0.501, 0.195, 0.966], [0.501, 0.871, 0.839], [0.525, 0.438, 0.615], [0.534, 0.187, 0.795], [0.540, 0.929, 0.672], [0.562, 0.475, 0.885], [0.805, 0.499, 0.534], [0.813, 0.466, 0.705], [0.818, 0.889, 0.787], [0.822, 0.157, 0.897], [0.832, 0.847, 0.458], [0.843, 0.178, 0.603], [0.847, 0.832, 0.958], [0.871, 0.501, 0.339], [0.876, 0.116, 0.130], [0.884, 0.124, 0.370], [0.889, 0.818, 0.287], [0.929, 0.540, 0.172]], "raw_formation_energy_ev_per_atom": -2.1539, "dft_energy_ev_per_atom": -6.7527, "volume_a3_per_atom": 13.3, "dos_ef_per_ev_cell": 0.000, "e_above_lowest_polymorph_mev_per_atom": 3}

Entry 5:
{"formula": "LiSn2P3O10", "functional": "PBE", "state": "optimized geometry", "lattice_angstrom": [[5.290, 0.000, 0.000], [0.000, 9.417, 0.000], [-1.878, 0.000, 9.759]], "species": ["Li", "Li", "Sn", "Sn", "Sn", "Sn", "P", "P", "P", "P", "P", "P", "O", "O", "O", "O", "O", "O", "O", "O", "O", "O", "O", "O", "O", "O", "O", "O", "O", "O", "O", "O"], "fractional_positions": [[0.000, 0.000, 0.000], [0.000, 0.500, 0.000], [0.038, 0.039, 0.338], [0.038, 0.461, 0.338], [0.962, 0.539, 0.662], [0.962, 0.961, 0.662], [0.261, 0.250, 0.863], [0.393, 0.250, 0.162], [0.495, 0.750, 0.398], [0.505, 0.250, 0.602], [0.607, 0.750, 0.838], [0.739, 0.750, 0.137], [0.104, 0.113, 0.853], [0.104, 0.387, 0.853], [0.225, 0.115, 0.167], [0.225, 0.385, 0.167], [0.245, 0.250, 0.503], [0.345, 0.613, 0.405], [0.345, 0.887, 0.405], [0.349, 0.750, 0.745], [0.453, 0.250, 0.762], [0.459, 0.250, 0.006], [0.541, 0.750, 0.994], [0.547, 0.750, 0.238], [0.651, 0.250, 0.255], [0.655, 0.113, 0.595], [0.655, 0.387, 0.595], [0.755, 0.750, 0.497], [0.775, 0.615, 0.833], [0.775, 0.885, 0.833], [0.896, 0.613, 0.147], [0.896, 0.887, 0.147]], "raw_formation_energy_ev_per_atom": -1.9969, "dft_energy_ev_per_atom": -6.7301, "volume_a3_per_atom": 15.2, "dos_ef_per_ev_cell": 0.000, "e_above_lowest_polymorph_mev_per_atom": 8}

Entry 6:
{"formula": "LiSnPO4", "functional": "PBE", "state": "optimized geometry", "lattice_angstrom": [[7.068, 0.000, 0.000], [0.000, 7.444, 0.000], [0.000, 0.000, 14.828]], "species": ["Li", "Li", "Li", "Li", "Li", "Li", "Li", "Li", "Sn", "Sn", "Sn", "Sn", "Sn", "Sn", "Sn", "Sn", "P", "P", "P", "P", "P", "P", "P", "P", "O", "O", "O", "O", "O", "O", "O", "O", "O", "O", "O", "O", "O", "O", "O", "O", "O", "O", "O", "O", "O", "O", "O", "O", "O", "O", "O", "O", "O", "O", "O", "O"], "fractional_positions": [[0.222, 0.108, 0.240], [0.222, 0.392, 0.740], [0.278, 0.608, 0.240], [0.278, 0.892, 0.740], [0.722, 0.108, 0.260], [0.722, 0.392, 0.760], [0.778, 0.608, 0.260], [0.778, 0.892, 0.760], [0.104, 0.702, 0.570], [0.104, 0.798, 0.070], [0.396, 0.202, 0.570], [0.396, 0.298, 0.070], [0.604, 0.702, 0.930], [0.604, 0.798, 0.430], [0.896, 0.202, 0.930], [0.896, 0.298, 0.430], [0.054, 0.623, 0.866], [0.054, 0.877, 0.366], [0.446, 0.123, 0.866], [0.446, 0.377, 0.366], [0.554, 0.623, 0.634], [0.554, 0.877, 0.134], [0.946, 0.123, 0.634], [0.946, 0.377, 0.134], [0.041, 0.564, 0.153], [0.041, 0.936, 0.653], [0.106, 0.231, 0.126], [0.106, 0.269, 0.626], [0.162, 0.615, 0.958], [0.162, 0.885, 0.458], [0.189, 0.659, 0.788], [0.189, 0.841, 0.288], [0.311, 0.159, 0.788], [0.311, 0.341, 0.288], [0.338, 0.115, 0.958], [0.338, 0.385, 0.458], [0.394, 0.731, 0.126], [0.394, 0.769, 0.626], [0.459, 0.064, 0.153], [0.459, 0.436, 0.653], [0.541, 0.564, 0.347], [0.541, 0.936, 0.847], [0.606, 0.231, 0.374], [0.606, 0.269, 0.874], [0.662, 0.615, 0.542], [0.662, 0.885, 0.042], [0.689, 0.659, 0.712], [0.689, 0.841, 0.212], [0.811, 0.159, 0.712], [0.811, 0.341, 0.212], [0.838, 0.115, 0.542], [0.838, 0.385, 0.042], [0.894, 0.731, 0.374], [0.894, 0.769, 0.874], [0.959, 0.064, 0.347], [0.959, 0.436, 0.847]], "raw_formation_energy_ev_per_atom": -2.0479, "dft_energy_ev_per_atom": -6.4993, "volume_a3_per_atom": 13.9, "dos_ef_per_ev_cell": 0.000}

> Which formula does entry 1 have?

LiSnPO4